K3TlNi | GGA-PBE | relaxed

```
K3TlNi
1.0
6.1290 0.0000 0.0000
0.0000 6.1290 0.0000
0.0000 0.0000 6.1290
K Tl Ni
3 1 1
direct
0.0000 0.0000 0.5000 K
0.0000 0.5000 0.0000 K
0.5000 0.0000 0.0000 K
0.5000 0.5000 0.5000 Tl
0.0000 0.0000 0.0000 Ni
```

Calculated values
Crystal system   cubic
Magnetic moment   0.00 μB per formula unit
Electronic total energy   -8.89 eV for the cell shown
Calculated formation energy   0.51 eV/atom

---

KTl2Ni | GGA-PBE | relaxed

```
KTl2Ni
1.0
3.7147 0.0000 0.0000
0.0000 3.7147 0.0000
0.0000 0.0000 8.5306
K Tl Ni
1 2 1
direct
0.0000 0.0000 0.0000 K
0.0000 0.0000 0.3951 Tl
0.5000 0.5000 0.6846 Tl
0.5000 0.5000 0.3755 Ni
```

Calculated values
Crystal system   tetragonal
Magnetic moment   0.00 μB per formula unit
Electronic total energy   -10.97 eV for the cell shown
Calculated formation energy   0.16 eV/atom

---

> Which value of calculated formation energy does entry 1 give?

0.51 eV/atom

---

> Number 1 is which compound?

K3TlNi

---

> electronic total energy of number 2 (KTl2Ni)?

-10.97 eV for the cell shown

---

> Which of these has the highest electronic total energy?

K3TlNi